Compound: PaP3Ru2
Source: Alexandria
Functional: PBE-GGA
Structure: relaxed

As for the space group: Cmcm. The density of states at the Fermi level comes out at 0.850 states/eV per atom. The total energy comes out at -48.02 eV per formula unit. The calculation puts the volume at 101.48 Å³/f.u.

The structure in CIF format:
```
data_PaP3Ru2
_space_group_name_H-M_alt 'P 1'
_space_group_IT_number 1
_space_group_name_Hall 'P 1'
_cell_length_a 6.1929
_cell_length_b 6.1929
_cell_length_c 5.5260
_cell_angle_alpha 90.00
_cell_angle_beta 90.00
_cell_angle_gamma 106.72
loop_
_atom_site_label
_atom_site_fract_x
_atom_site_fract_y
_atom_site_fract_z
_atom_site_occupancy
Pa1 0.2206 0.7794 0.7500 1
Pa2 0.7794 0.2206 0.2500 1
P1 0.0129 0.2870 0.7500 1
P2 0.2870 0.0129 0.2500 1
P3 0.3785 0.6215 0.2500 1
P4 0.6215 0.3785 0.7500 1
P5 0.7130 0.9871 0.7500 1
P6 0.9871 0.7130 0.2500 1
Ru1 0.3089 0.3089 0.0000 1
Ru2 0.3089 0.3089 0.5000 1
Ru3 0.6911 0.6911 0.0000 1
Ru4 0.6911 0.6911 0.5000 1
```